Crystalline RbHg3Pd at its relaxed geometry. Source: Alexandria, functional PBE-GGA.

Results
energy relative to the lowest polymorph listed for this composition = 0.076 eV per atom
formation energy from the elements = -180 meV per atom
N(E_F) = 7.08 states/eV/cell

The structure in CIF format:
```
data_RbHg3Pd
_symmetry_space_group_name_H-M 'P n m a'
_symmetry_Int_Tables_number 62
_cell_length_a 6.009
_cell_length_b 14.027
_cell_length_c 6.891
_cell_angle_alpha 90.00
_cell_angle_beta 90.00
_cell_angle_gamma 90.00
loop_
_symmetry_equiv_pos_as_xyz
'x,y,z'
'-x,-y,-z'
'-x+1/2,-y,z+1/2'
'x+1/2,y,-z+1/2'
'x+1/2,-y+1/2,-z+1/2'
'-x+1/2,y+1/2,z+1/2'
'-x,y+1/2,-z'
'x,-y+1/2,z'
loop_
_atom_site_label
_atom_site_type_symbol
_atom_site_fract_x
_atom_site_fract_y
_atom_site_fract_z
_atom_site_occupancy
Rb1 Rb 0.000 0.000 0.000 1
Hg1 Hg 0.000 0.131 0.494 1
Hg2 Hg 0.001 0.250 0.098 1
Pd1 Pd 0.249 0.750 0.250 1
```

Crystalline Mn2AgAs at its relaxed geometry. Source: Alexandria, functional PBE-GGA.

Results
formation energy from the elements = 211 meV per atom
N(E_F) = 7.10 states/eV/cell

The structure in CIF format:
```
data_Mn2AgAs
_symmetry_space_group_name_H-M 'I m m m'
_symmetry_Int_Tables_number 71
_symmetry_space_group_name_Hall '-I 2 2'
_cell_length_a 4.063
_cell_length_b 4.135
_cell_length_c 7.537
_cell_angle_alpha 90.00
_cell_angle_beta 90.00
_cell_angle_gamma 90.00
loop_
_atom_site_label
_atom_site_type_symbol
_atom_site_fract_x
_atom_site_fract_y
_atom_site_fract_z
_atom_site_occupancy
Mn1 Mn 0.000 0.000 0.247 1
Ag1 Ag 0.000 0.500 0.000 1
As1 As 0.000 0.500 0.500 1
```

Crystalline Er2Zn3Cu12Si at its relaxed geometry. Source: Alexandria, functional PBE-GGA.

Results
formation energy from raw total energies = 82 meV per atom
N(E_F) = 24.79 states/eV/cell

The structure in CIF format:
```
data_Er2Zn3Cu12Si
_symmetry_space_group_name_H-M 'R -3 m'
_symmetry_Int_Tables_number 166
_symmetry_space_group_name_Hall '-R 3 2"'
_cell_length_a 6.1532
_cell_length_b 6.1532
_cell_length_c 26.1781
_cell_angle_alpha 90.00
_cell_angle_beta 90.00
_cell_angle_gamma 120.00
loop_
_atom_site_label
_atom_site_type_symbol
_atom_site_fract_x
_atom_site_fract_y
_atom_site_fract_z
_atom_site_occupancy
Er1 Er 0.0000 0.0000 0.1481 1
Zn1 Zn 0.0000 0.5000 0.0000 1
Cu1 Cu 0.0345 0.5172 0.1003 1
Cu2 Cu 0.0742 0.5371 0.6167 1
Si1 Si 0.0000 0.0000 0.5000 1
```

Crystalline TbPu at its relaxed geometry. Source: Alexandria, functional PBE-GGA.

Results
energy relative to the lowest polymorph listed for this composition = 0.000 eV per atom
formation energy from the elements = 195 meV per atom
N(E_F) = 9.08 states/eV/cell

The structure in CIF format:
```
data_TbPu
_symmetry_space_group_name_H-M 'P -6 m 2'
_symmetry_Int_Tables_number 187
_symmetry_space_group_name_Hall 'P -6 2'
_cell_length_a 3.4722
_cell_length_b 3.4722
_cell_length_c 5.7212
_cell_angle_alpha 90.00
_cell_angle_beta 90.00
_cell_angle_gamma 120.00
loop_
_atom_site_label
_atom_site_type_symbol
_atom_site_fract_x
_atom_site_fract_y
_atom_site_fract_z
_atom_site_occupancy
Tb1 Tb 0.0000 0.0000 0.0000 1
Pu1 Pu 0.3333 0.6667 0.5000 1
```

Crystalline MnIn2S4 at its relaxed geometry. Source: Alexandria, functional PBE-GGA.

Results
formation energy from raw total energies = -562 meV per atom

The structure in CIF format:
```
data_MnIn2S4
_symmetry_space_group_name_H-M 'P -4 2 m'
_symmetry_Int_Tables_number 111
_cell_length_a 5.617
_cell_length_b 5.617
_cell_length_c 5.626
_cell_angle_alpha 90.00
_cell_angle_beta 90.00
_cell_angle_gamma 90.00
loop_
_symmetry_equiv_pos_as_xyz
'x,y,z'
'y,-x,-z'
'-x,-y,z'
'-y,x,-z'
'x,-y,-z'
'y,x,z'
'-x,y,-z'
'-y,-x,z'
loop_
_atom_site_label
_atom_site_type_symbol
_atom_site_fract_x
_atom_site_fract_y
_atom_site_fract_z
_atom_site_occupancy
Mn1 Mn 0.000 0.000 0.000 1
In1 In 0.000 0.500 0.500 1
S1 S 0.257 0.257 0.229 1
```

Crystalline PuNb2Ge2 at its relaxed geometry. Source: Alexandria, functional PBE-GGA.

Results
formation energy from the elements = -432 meV per atom
N(E_F) = 19.80 states/eV/cell

The structure in CIF format:
```
data_PuNb2Ge2
_symmetry_space_group_name_H-M 'I 4/m m m'
_symmetry_Int_Tables_number 139
_symmetry_space_group_name_Hall '-I 4 2'
_cell_length_a 4.044
_cell_length_b 4.044
_cell_length_c 12.158
_cell_angle_alpha 90.00
_cell_angle_beta 90.00
_cell_angle_gamma 90.00
loop_
_atom_site_label
_atom_site_type_symbol
_atom_site_fract_x
_atom_site_fract_y
_atom_site_fract_z
_atom_site_occupancy
Pu1 Pu 0.000 0.000 0.000 1
Nb1 Nb 0.000 0.500 0.250 1
Ge1 Ge 0.000 0.000 0.397 1
```

Crystalline Pr2SmTe2S2 at its relaxed geometry. Source: Alexandria, functional PBE-GGA.

Results
formation energy from raw total energies = -1445 meV per atom
N(E_F) = 5.79 states/eV/cell

The structure in CIF format:
```
data_Pr2SmTe2S2
_symmetry_space_group_name_H-M 'I 4/m m m'
_symmetry_Int_Tables_number 139
_symmetry_space_group_name_Hall '-I 4 2'
_cell_length_a 5.180
_cell_length_b 5.180
_cell_length_c 16.164
_cell_angle_alpha 90.00
_cell_angle_beta 90.00
_cell_angle_gamma 90.00
loop_
_atom_site_label
_atom_site_type_symbol
_atom_site_fract_x
_atom_site_fract_y
_atom_site_fract_z
_atom_site_occupancy
Pr1 Pr 0.000 0.000 0.115 1
Sm1 Sm 0.000 0.000 0.500 1
Te1 Te 0.000 0.000 0.312 1
S1 S 0.000 0.500 0.000 1
```

Crystalline SrAuSCl2 at its relaxed geometry. Source: Alexandria, functional PBE-GGA.

Results
energy relative to the lowest polymorph listed for this composition = 0.000 eV per atom
formation energy from raw total energies = -931 meV per atom
N(E_F) = 0.76 states/eV/cell

The structure in CIF format:
```
data_SrAuSCl2
_symmetry_space_group_name_H-M 'P 4/m m m'
_symmetry_Int_Tables_number 123
_symmetry_space_group_name_Hall '-P 4 2'
_cell_length_a 5.025
_cell_length_b 5.025
_cell_length_c 5.073
_cell_angle_alpha 90.00
_cell_angle_beta 90.00
_cell_angle_gamma 90.00
loop_
_atom_site_label
_atom_site_type_symbol
_atom_site_fract_x
_atom_site_fract_y
_atom_site_fract_z
_atom_site_occupancy
Sr1 Sr 0.000 0.000 0.000 1
Au1 Au 0.500 0.500 0.500 1
S1 S 0.500 0.500 0.000 1
Cl1 Cl 0.000 0.500 0.500 1
```

Values for E_tot, eV/atom, ordered as above
-1.59 -6.25 -3.67 -9.29 -5.01 -9.17 -5.56 -3.49